{
  "formula": "CaNpSiO6",
  "functional": "PBE-GGA",
  "state": "relaxed",
  "raw_formation_energy_mev_per_atom": -2757,
  "lattice_angstrom": [[5.184, 0.000, 0.000], [-2.592, 4.489, 0.000], [0.000, 0.000, 10.036]],
  "species": ["Ca", "Ca", "Np", "Np", "Si", "Si", "O", "O", "O", "O", "O", "O", "O", "O", "O", "O", "O", "O"],
  "fractional_positions": [[0.000, 0.000, 0.000], [0.000, 0.000, 0.500], [0.333, 0.667, 0.250], [0.667, 0.333, 0.750], [0.667, 0.333, 0.250], [0.333, 0.667, 0.750], [0.654, 0.616, 0.147], [0.962, 0.346, 0.147], [0.346, 0.962, 0.647], [0.038, 0.654, 0.853], [0.384, 0.346, 0.353], [0.962, 0.616, 0.353], [0.616, 0.962, 0.853], [0.654, 0.038, 0.353], [0.038, 0.384, 0.647], [0.384, 0.038, 0.147], [0.616, 0.654, 0.647], [0.346, 0.384, 0.853]]
}

{
  "formula": "CaNpSi2O8",
  "functional": "PBE-GGA",
  "state": "relaxed",
  "raw_formation_energy_mev_per_atom": -2712,
  "dos_at_fermi_per_ev_fu": 6.50,
  "lattice_angstrom": [[-5.634, -1.138, 0.646], [3.513, -4.595, 0.035], [1.537, 3.268, 4.518]],
  "species": ["Ca", "Np", "Si", "Si", "O", "O", "O", "O", "O", "O", "O", "O"],
  "fractional_positions": [[0.000, 0.000, 0.000], [0.250, 0.750, 0.500], [0.750, 0.250, 0.500], [0.500, 0.500, 0.000], [0.395, 0.070, 0.326], [0.338, 0.528, 0.190], [0.338, 0.147, 0.810], [0.744, 0.070, 0.674], [0.853, 0.662, 0.190], [0.930, 0.256, 0.326], [0.930, 0.605, 0.674], [0.472, 0.662, 0.810]]
}

{
  "formula": "CaNpSiO5",
  "functional": "PBE-GGA",
  "state": "relaxed",
  "raw_formation_energy_mev_per_atom": -2953,
  "dos_at_fermi_per_ev_fu": 9.04,
  "lattice_angstrom": [[5.770, 0.011, 0.035], [-1.674, 5.522, 0.035], [-1.661, -2.243, 7.154]],
  "species": ["Ca", "Ca", "Np", "Np", "Si", "Si", "O", "O", "O", "O", "O", "O", "O", "O", "O", "O"],
  "fractional_positions": [[0.344, 0.656, 0.250], [0.656, 0.344, 0.750], [0.000, 0.000, 0.500], [0.000, 0.000, 0.000], [0.679, 0.321, 0.250], [0.321, 0.679, 0.750], [0.098, 0.902, 0.250], [0.902, 0.098, 0.750], [0.905, 0.338, 0.146], [0.095, 0.662, 0.854], [0.662, 0.095, 0.354], [0.338, 0.905, 0.646], [0.726, 0.591, 0.404], [0.274, 0.409, 0.596], [0.409, 0.274, 0.096], [0.591, 0.726, 0.904]]
}

{
  "formula": "CaSmNpO6",
  "functional": "PBE-GGA",
  "state": "relaxed",
  "raw_formation_energy_mev_per_atom": -2948,
  "lattice_angstrom": [[-2.526, 1.390, -4.992], [-3.160, -0.457, 4.800], [1.460, 9.287, 1.846]],
  "species": ["Ca", "Ca", "Sm", "Sm", "Np", "Np", "O", "O", "O", "O", "O", "O", "O", "O", "O", "O", "O", "O"],
  "fractional_positions": [[0.333, 0.667, 0.250], [0.667, 0.333, 0.750], [0.000, 0.000, 0.000], [0.000, 0.000, 0.500], [0.667, 0.333, 0.250], [0.333, 0.667, 0.750], [0.674, 0.633, 0.135], [0.959, 0.326, 0.135], [0.326, 0.959, 0.635], [0.041, 0.674, 0.865], [0.367, 0.326, 0.365], [0.959, 0.633, 0.365], [0.633, 0.959, 0.865], [0.674, 0.041, 0.365], [0.041, 0.367, 0.635], [0.367, 0.041, 0.135], [0.633, 0.674, 0.635], [0.326, 0.367, 0.865]]
}